# AcPmIrPd

A relaxed AcPmIrPd crystal (PBE, Alexandria).

Calculated values
Calculated volume ... 25.308 A^3/atom
Energy above the lowest structure with this stoichiometry ... 0.000 eV/f.u.
Formation energy from the elements ... -0.725 eV per atom
D(E_F) ... 2.25 states/eV/f.u.

Unit cell a=4.011 b=4.504 c=5.952 alpha=90.00 beta=109.69 gamma=90.00
Element x y z (fractional)
Ac1 0.141 0.000 0.282
Pm1 0.866 0.500 0.732
Ir1 0.410 0.000 0.821
Pd1 0.582 0.500 0.164

***

# AcPmIrPd

A relaxed AcPmIrPd crystal (PBE, Alexandria).

Calculated values
Calculated volume ... 24.359 A^3/atom
Energy above the lowest structure with this stoichiometry ... 0.290 eV/f.u.
Formation energy from the elements ... -0.652 eV per atom
D(E_F) ... 2.66 states/eV/f.u.

Unit cell a=5.165 b=5.165 c=5.165 alpha=60.00 beta=60.00 gamma=60.00
Element x y z (fractional)
Ac1 0.250 0.250 0.250
Ir1 0.000 0.000 0.000
Pd1 0.500 0.500 0.500
Pm1 0.750 0.750 0.750

***

# AcPrIrPd

A relaxed AcPrIrPd crystal (PBE, Alexandria).

Calculated values
Calculated volume ... 24.844 A^3/atom
Energy above the lowest structure with this stoichiometry ... 0.301 eV/f.u.
Formation energy from the elements ... -0.629 eV per atom
D(E_F) ... 2.54 states/eV/f.u.

Unit cell a=5.199 b=5.199 c=5.199 alpha=60.00 beta=60.00 gamma=60.00
Element x y z (fractional)
Pr1 0.250 0.250 0.250
Ac1 0.750 0.750 0.750
Ir1 0.000 0.000 0.000
Pd1 0.500 0.500 0.500

***

# AcPrIrPd

A relaxed AcPrIrPd crystal (PBE, Alexandria).

Calculated values
Calculated volume ... 25.765 A^3/atom
Energy above the lowest structure with this stoichiometry ... 0.000 eV/f.u.
Formation energy from the elements ... -0.704 eV per atom
D(E_F) ... 2.20 states/eV/f.u.

Unit cell a=4.034 b=4.557 c=5.958 alpha=90.00 beta=109.79 gamma=90.00
Element x y z (fractional)
Ac1 0.140 0.000 0.279
Pr1 0.866 0.500 0.732
Ir1 0.411 0.000 0.823
Pd1 0.583 0.500 0.166

***

# Ac3IrPdPt

A relaxed Ac3IrPdPt crystal (PBE, Alexandria).

Calculated values
Calculated volume ... 28.723 A^3/atom
Formation energy from the elements ... -0.684 eV per atom
D(E_F) ... 4.15 states/eV/f.u.

Unit cell a=4.311 b=8.523 c=10.316 alpha=114.58 beta=90.00 gamma=90.00
Element x y z (fractional)
Ac1 0.750 0.933 0.134
Ac2 0.250 0.067 0.866
Ac3 0.250 0.709 0.496
Ac4 0.750 0.291 0.504
Ac5 0.750 0.467 0.145
Ac6 0.250 0.533 0.855
Ir1 0.250 0.732 0.189
Ir2 0.750 0.268 0.811
Pd1 0.250 0.267 0.251
Pd2 0.750 0.733 0.749
Pt1 0.250 0.104 0.591
Pt2 0.750 0.896 0.409

***

# Ac5IrPdPt2

A relaxed Ac5IrPdPt2 crystal (PBE, Alexandria).

Calculated values
Calculated volume ... 32.719 A^3/atom
Formation energy from the elements ... -0.769 eV per atom
D(E_F) ... 5.27 states/eV/f.u.

Unit cell a=4.495 b=9.267 c=14.573 alpha=90.00 beta=90.00 gamma=104.04
Element x y z (fractional)
Ac1 0.443 0.887 0.038
Ac2 0.776 0.552 0.931
Ac3 0.431 0.862 0.766
Ac4 0.182 0.364 0.715
Ac5 0.879 0.759 0.528
Ac6 0.557 0.113 0.538
Ac7 0.224 0.448 0.431
Ac8 0.569 0.138 0.266
Ac9 0.818 0.636 0.215
Ac10 0.121 0.241 0.028
Ir1 0.717 0.434 0.571
Ir2 0.283 0.566 0.071
Pd1 0.600 0.199 0.887
Pd2 0.400 0.801 0.387
Pt1 0.810 0.621 0.729
Pt2 0.011 0.023 0.660
Pt3 0.190 0.379 0.229
Pt4 0.989 0.977 0.160

***

# Ac4IrPd2Pt

A relaxed Ac4IrPd2Pt crystal (PBE, Alexandria).

Calculated values
Calculated volume ... 29.874 A^3/atom
Formation energy from the elements ... -0.841 eV per atom
D(E_F) ... 5.04 states/eV/f.u.

Unit cell a=4.392 b=7.597 c=7.597 alpha=109.49 beta=90.00 gamma=90.00
Element x y z (fractional)
Ac1 0.500 0.253 0.239
Ac2 0.500 0.747 0.761
Ac3 0.000 0.260 0.763
Ac4 0.000 0.740 0.237
Ir1 0.500 0.500 0.000
Pd1 0.500 0.000 0.500
Pd2 0.000 0.500 0.500
Pt1 0.000 0.000 0.000

***

# Ac6IrPd2Pt

A relaxed Ac6IrPd2Pt crystal (PBE, Alexandria).

Calculated values
Calculated volume ... 35.610 A^3/atom
Formation energy from the elements ... -0.712 eV per atom
D(E_F) ... 6.91 states/eV/f.u.

Unit cell a=7.635 b=7.633 c=8.317 alpha=62.69 beta=62.69 gamma=60.04
Element x y z (fractional)
Ac1 0.589 0.233 0.250
Ac2 0.233 0.928 0.250
Ac3 0.929 0.588 0.250
Ac4 0.421 0.726 0.757
Ac5 0.725 0.097 0.757
Ac6 0.096 0.422 0.757
Ir1 0.327 0.327 0.020
Pd1 0.508 0.508 0.476
Pd2 0.007 0.007 0.979
Pt1 0.827 0.827 0.519